[1]
Here is crystalline PrErIrO6 at its relaxed geometry from the Alexandria database. Energies are from GGA-PBE.

Computed properties:
Formation energy from raw total energies: -2.1857 eV/atom
V: 14.74 A^3/atom
E: -7.514 eV/atom

Lattice parameters (Å, degrees): 5.5075 5.5075 10.1001 90.00 90.00 120.00
Space group P-31c (No. 163)
Symmetry-distinct sites (fractional):
Pr 0.0000 0.0000 0.0000
Er 0.3333 0.6667 0.2500
Ir 0.3333 0.6667 0.7500
O 0.0379 0.3757 0.6400

---

[2]
Here is crystalline Cs2BaSnI6 at its relaxed geometry from the Alexandria database. Energies are from GGA-PBE.

Computed properties:
E above lowest polymorph: 0.0374 eV per atom
Formation energy from raw total energies: -1.2715 eV/atom
V: 55.95 A^3/atom
E: -2.965 eV/atom

Lattice parameters (Å, degrees): 13.080 13.080 13.080 90.00 90.00 90.00
Space group Fm-3m (No. 225)
Symmetry-distinct sites (fractional):
Cs 0.250 0.250 0.250
Ba 0.000 0.000 0.000
Sn 0.000 0.000 0.500
I 0.000 0.000 0.259

---

[3]
Here is crystalline TcP2Ru at its relaxed geometry from the Alexandria database. Energies are from GGA-PBE.

Computed properties:
Energy relative to the elements: 0.263 eV per atom
E above lowest polymorph: 0.6423 eV per atom
V: 14.95 A^3/atom
E: -7.353 eV/atom

Lattice parameters (Å, degrees): 3.052 4.723 8.298 90.00 90.00 90.00
Space group Cmm2 (No. 35)
Symmetry-distinct sites (fractional):
Tc 0.000 0.000 0.000
P 0.000 0.000 0.509
P 0.000 0.500 0.209
Ru 0.000 0.500 0.713

---

[4]
Here is crystalline AgI2F at its relaxed geometry from the Alexandria database. Energies are from GGA-PBE.

Computed properties:
E above lowest polymorph: 0.0000 eV per atom
Formation energy from raw total energies: -0.1314 eV/atom
V: 32.69 A^3/atom
E: -2.087 eV/atom

Lattice parameters (Å, degrees): 6.133 6.133 13.907 90.00 90.00 90.00
Space group I-42d (No. 122)
Symmetry-distinct sites (fractional):
Ag 0.000 0.000 0.000
I 0.238 0.250 0.625
F 0.000 0.000 0.500

---

[5]
Here is crystalline Tl3Ag5 at its relaxed geometry from the Alexandria database. Energies are from GGA-PBE.

Computed properties:
Energy relative to the elements: 0.158 eV per atom
E above lowest polymorph: 0.0168 eV per atom
V: 22.89 A^3/atom
E: -2.512 eV/atom

Lattice parameters (Å, degrees): 5.590 8.337 8.711 84.38 73.18 70.42
Space group P-1 (No. 2)
Symmetry-distinct sites (fractional):
Tl 0.190 0.120 0.000
Tl 0.286 0.928 0.499
Tl 0.304 0.499 0.388
Ag 0.038 0.681 0.715
Ag 0.218 0.320 0.715
Ag 0.248 0.500 0.003
Ag 0.278 0.789 0.174
Ag 0.434 0.788 0.826

---

[6]
Here is crystalline TiReSn2 at its relaxed geometry from the Alexandria database. Energies are from GGA-PBE.

Computed properties:
Energy relative to the elements: 0.487 eV per atom
E above lowest polymorph: 0.2877 eV per atom
V: 20.30 A^3/atom
E: -6.600 eV/atom

Lattice parameters (Å, degrees): 4.043 4.043 19.879 90.00 90.00 90.00
Space group I-42d (No. 122)
Symmetry-distinct sites (fractional):
Ti 0.000 0.000 0.000
Re 0.000 0.000 0.500
Sn 0.248 0.250 0.125